MgZn after structural relaxation. Source: OQMD, functional PBE-GGA.

Unit cell a=4.3641 b=4.3641 c=7.0928 alpha=90.00 beta=90.00 gamma=120.00
Space group P6_3mc (No. 186)
Symmetry-distinct sites (fractional):
Mg (0.3333, 0.6667, 0.0000) (multiplicity 2)
Zn (0.3333, 0.6667, 0.3758) (multiplicity 2)

Summary:
The value obtained for the electronic total energy is -0.8587 eV/atom. The value obtained for the calculated density is 2.55 Mg/m³.

MgZn after structural relaxation. Source: OQMD, functional PBE-GGA.

Unit cell a=5.9979 b=14.8754 c=4.8516 alpha=90.00 beta=90.00 gamma=90.00
Space group Pbcm (No. 57)
Symmetry-distinct sites (fractional):
Mg (0.1192, 0.0303, 0.2500) (multiplicity 4)
Mg (0.3708, 0.5253, 0.2500) (multiplicity 4)
Mg (0.3772, 0.1960, 0.2500) (multiplicity 4)
Zn (0.1178, 0.1397, 0.7500) (multiplicity 4)
Zn (0.1240, 0.7000, 0.2500) (multiplicity 4)
Zn (0.3650, 0.6397, 0.7500) (multiplicity 4)

Summary:
The value obtained for the electronic total energy is -1.4083 eV/atom. The value obtained for the calculated density is 4.13 Mg/m³.